First-principles (PBE) data for an optimized crystal structure of LaBiTe2Pb, as listed in the Alexandria database.

```
LaBiTe2Pb
1.0
6.0143 0.0000 0.0000
0.0000 6.0143 0.0000
0.0000 0.0000 6.3280
La Bi Te Pb
1 1 2 1
direct
0.0000 0.0000 0.0000
0.5000 0.5000 0.5000
0.0000 0.5000 0.0000
0.5000 0.0000 0.0000
0.0000 0.0000 0.5000
```

Calculated values
**Formation energy from raw total energies**: 18.5 kJ per mole of atoms
**Symmetry**: P4/mmm (123)
**Size of the total moment**: 0.000 μB/f.u.